Below is KNaH3Au after structural relaxation, with properties calculated at the PBE-GGA level.

Values from the calculation:
The value obtained for the total energy is -2.822 eV per atom.

```
KNaH3Au
1.0
5.9895 0.0000 0.0000
-2.9947 5.1870 0.0000
0.0000 0.0000 6.5977
K Na H Au
2 2 6 2
direct
0.3333 0.6667 0.2500
0.6667 0.3333 0.7500
0.0000 0.0000 0.0000
0.0000 0.0000 0.5000
0.1655 0.3310 0.7500
0.1655 0.8345 0.7500
0.3310 0.1655 0.2500
0.6690 0.8345 0.7500
0.8345 0.1655 0.2500
0.8345 0.6690 0.2500
0.3333 0.6667 0.7500
0.6667 0.3333 0.2500
```



Below is KNiH2Au after structural relaxation, with properties calculated at the PBE-GGA level.

Values from the calculation:
The value obtained for the total energy is -2.116 eV per atom.

```
KNiH2Au
1.0
4.0372 0.0000 0.0000
0.0000 4.0372 0.0000
0.0000 0.0000 6.7039
K Ni H Au
1 1 2 1
direct
0.0000 0.0000 0.0000
0.5000 0.5000 0.5000
0.0000 0.5000 0.0000
0.5000 0.0000 0.0000
0.0000 0.0000 0.5000
```



Below is KH2OsAu after structural relaxation, with properties calculated at the PBE-GGA level.

Values from the calculation:
The value obtained for the total energy is -3.199 eV per atom.

```
KH2OsAu
1.0
4.1552 0.0000 0.0000
0.0000 4.1552 0.0000
0.0000 0.0000 5.1939
K H Os Au
1 2 1 1
direct
0.0000 0.0000 0.0000
0.0000 0.5000 0.5000
0.5000 0.0000 0.5000
0.5000 0.5000 0.0000
0.5000 0.5000 0.5000
```